{
  "formula": "SrPm2Pd",
  "functional": "PBE",
  "state": "relaxed",
  "lattice": [[2.1262, 1.2275, 9.5668], [-2.1262, 1.2275, 9.5668], [0.0000, -2.4551, 9.5668]],
  "species": ["Sr", "Pm", "Pm", "Pd"],
  "frac_coords": [[0.0000, 0.0000, 0.0000], [0.2208, 0.2208, 0.2208], [0.4489, 0.4489, 0.4489], [0.8350, 0.8350, 0.8350]],
  "spacegroup": "R3m",
  "formation_enthalpy_0k_ev_per_atom": -0.27,
  "final_energy_ev_per_cell": -17.47
}